Model a:
BaSrCa2 | PBE | optimized geometry

Geometry as CIF:
```
data_BaSrCa2
_chemical_formula_sum 'Ba1 Sr1 Ca2'
_cell_length_a 4.006
_cell_length_b 6.657
_cell_length_c 7.493
_cell_angle_alpha 90.00
_cell_angle_beta 97.53
_cell_angle_gamma 90.00
_space_group_name_H-M_alt 'P 1 m 1'
_space_group_IT_number 6
loop_
_space_group_symop_operation_xyz
'x,y,z'
'x,-y,z'
loop_
_atom_site_label
_atom_site_fract_x
_atom_site_fract_y
_atom_site_fract_z
Ba1 0.000 0.000 0.000
Sr1 0.204 0.500 0.715
Ca1 0.527 0.000 0.491
Ca2 0.670 0.500 0.229
```

Spin magnetization = 0.00 μB/f.u.
Density of states at the Fermi level = 5.0 states/eV per cell

---

Model b:
BaSrCa2 | PBE | optimized geometry

Geometry as CIF:
```
data_BaSrCa2
_chemical_formula_sum 'Ba3 Sr3 Ca6'
_cell_length_a 4.1249
_cell_length_b 4.1249
_cell_length_c 40.3525
_cell_angle_alpha 90.00
_cell_angle_beta 90.00
_cell_angle_gamma 120.00
_space_group_name_H-M_alt 'R -3 m'
_space_group_IT_number 166
_space_group_name_Hall '-R 3 2"'
loop_
_atom_site_label
_atom_site_fract_x
_atom_site_fract_y
_atom_site_fract_z
Ba1 0.0000 0.0000 0.0000
Sr1 0.0000 0.0000 0.5000
Ca1 0.0000 0.0000 0.2487
```

Spin magnetization = 0.00 μB/f.u.
Density of states at the Fermi level = 16.8 states/eV per cell

---

Model c:
BaSrCa2 | PBE | optimized geometry

Geometry as CIF:
```
data_BaSrCa2
_chemical_formula_sum 'Ba2 Sr2 Ca4'
_cell_length_a 5.941
_cell_length_b 5.964
_cell_length_c 11.373
_cell_angle_alpha 90.00
_cell_angle_beta 90.00
_cell_angle_gamma 90.00
_space_group_name_H-M_alt 'C m m 2'
_space_group_IT_number 35
loop_
_space_group_symop_operation_xyz
'x,y,z'
'-x,-y,z'
'-x,y,z'
'x,-y,z'
'x+1/2,y+1/2,z'
'-x+1/2,-y+1/2,z'
'-x+1/2,y+1/2,z'
'x+1/2,-y+1/2,z'
loop_
_atom_site_label
_atom_site_fract_x
_atom_site_fract_y
_atom_site_fract_z
Ba1 0.000 0.000 0.000
Sr1 0.000 0.500 0.286
Ca1 0.000 0.000 0.527
Ca2 0.000 0.500 0.741
```

Spin magnetization = 0.00 μB/f.u.
Density of states at the Fermi level = 10.0 states/eV per cell

---

Model d:
BaSrCa2 | PBE | optimized geometry

Geometry as CIF:
```
data_BaSrCa2
_chemical_formula_sum 'Ba4 Sr4 Ca8'
_cell_length_a 10.185
_cell_length_b 10.185
_cell_length_c 7.653
_cell_angle_alpha 90.00
_cell_angle_beta 90.00
_cell_angle_gamma 90.00
_space_group_name_H-M_alt 'I -4 2 d'
_space_group_IT_number 122
_space_group_name_Hall 'I -4 2bw'
loop_
_atom_site_label
_atom_site_fract_x
_atom_site_fract_y
_atom_site_fract_z
Ba1 0.000 0.000 0.000
Sr1 0.000 0.000 0.500
Ca1 0.248 0.250 0.625
```

Spin magnetization = 0.00 μB/f.u.
Density of states at the Fermi level = 18.2 states/eV per cell

---

Winner for stability: model c

---

Model a:
BaSrCa2 | PBE | optimized geometry

Geometry as CIF:
```
data_BaSrCa2
_chemical_formula_sum 'Ba2 Sr2 Ca4'
_cell_length_a 13.731
_cell_length_b 4.147
_cell_length_c 7.167
_cell_angle_alpha 90.00
_cell_angle_beta 100.54
_cell_angle_gamma 90.00
_space_group_name_H-M_alt 'C 1 m 1'
_space_group_IT_number 8
loop_
_space_group_symop_operation_xyz
'x,y,z'
'x,-y,z'
'x+1/2,y+1/2,z'
'x+1/2,-y+1/2,z'
loop_
_atom_site_label
_atom_site_fract_x
_atom_site_fract_y
_atom_site_fract_z
Ba1 0.000 0.000 0.000
Sr1 0.259 0.500 0.273
Ca1 0.008 0.500 0.511
Ca2 0.248 0.000 0.754
```

Spin magnetization = 0.00 μB/f.u.
Density of states at the Fermi level = 9.3 states/eV per cell

---

Model b:
BaSrCa2 | PBE | optimized geometry

Geometry as CIF:
```
data_BaSrCa2
_chemical_formula_sum 'Ba2 Sr2 Ca4'
_cell_length_a 13.667
_cell_length_b 4.114
_cell_length_c 7.222
_cell_angle_alpha 90.00
_cell_angle_beta 99.48
_cell_angle_gamma 90.00
_space_group_name_H-M_alt 'C 1 2/m 1'
_space_group_IT_number 12
loop_
_space_group_symop_operation_xyz
'x,y,z'
'-x,-y,-z'
'-x,y,-z'
'x,-y,z'
'x+1/2,y+1/2,z'
'-x+1/2,-y+1/2,-z'
'-x+1/2,y+1/2,-z'
'x+1/2,-y+1/2,z'
loop_
_atom_site_label
_atom_site_fract_x
_atom_site_fract_y
_atom_site_fract_z
Ba1 0.000 0.000 0.000
Sr1 0.000 0.500 0.500
Ca1 0.249 0.000 0.745
```

Spin magnetization = 0.00 μB/f.u.
Density of states at the Fermi level = 10.2 states/eV per cell

---

Model c:
BaSrCa2 | PBE | optimized geometry

Geometry as CIF:
```
data_BaSrCa2
_chemical_formula_sum 'Ba4 Sr4 Ca8'
_cell_length_a 9.308
_cell_length_b 13.155
_cell_length_c 6.543
_cell_angle_alpha 90.00
_cell_angle_beta 90.00
_cell_angle_gamma 90.00
_space_group_name_H-M_alt 'C 1 2/c 1'
_space_group_IT_number 15
loop_
_space_group_symop_operation_xyz
'x,y,z'
'-x,-y,-z'
'-x,y,-z+1/2'
'x,-y,z+1/2'
'x+1/2,y+1/2,z'
'-x+1/2,-y+1/2,-z'
'-x+1/2,y+1/2,-z+1/2'
'x+1/2,-y+1/2,z+1/2'
loop_
_atom_site_label
_atom_site_fract_x
_atom_site_fract_y
_atom_site_fract_z
Ba1 0.000 0.129 0.250
Sr1 0.000 0.371 0.750
Ca1 0.246 0.379 0.252
```

Spin magnetization = 0.00 μB/f.u.
Density of states at the Fermi level = 25.1 states/eV per cell

---

Winner for stability: model c